Entry 1:
TiIn2TcSb | Alexandria | PBE-GGA | optimized geometry; raw formation energy = 431 meV/atom; SG = P4/mmm (123)
1.0
-0.4485 0.0279 -5.2708
-3.4932 -2.8675 0.2820
-3.3360 4.0941 0.3056
Sb Tc In Ti
1 1 2 1
Cartesian
-3.6389 0.6273 -2.3416
0.0000 0.0000 0.0000
-1.6680 2.0470 0.1528
-0.2243 0.0140 -2.6354
-1.7466 -1.4337 0.1410



Entry 2:
Cs2InSeF6 | Alexandria | PBE-GGA | optimized geometry; raw formation energy = -2140 meV/atom; SG = I4/mmm (139)
1.0
6.2421 0.0000 0.0000
0.0000 6.2421 0.0000
3.1211 3.1211 5.5752
Se F Cs In
1 6 2 1
Cartesian
3.1211 3.1211 0.0000
4.7259 1.5162 0.0000
4.7259 4.7259 0.0000
3.1211 3.1211 3.4874
1.5162 4.7259 0.0000
1.5162 1.5162 0.0000
6.2421 6.2421 2.0879
3.1211 6.2421 2.7876
6.2421 3.1211 2.7876
0.0000 0.0000 0.0000



Entry 3:
Gd2PuZn | Alexandria | PBE-GGA | optimized geometry; E_form = 0.35 eV/atom; energy above the lowest structure with this stoichiometry = 413 meV/atom; SG = R-3m (166)
1.0
-0.4137 -0.2338 3.3749
2.2627 -1.7221 1.8789
6.8747 9.1485 3.1973
Pu Zn Gd
1 1 2
Cartesian
0.0000 0.0000 0.0000
4.3619 3.5963 4.2256
6.0046 6.1687 4.6051
2.7192 1.0239 3.8460



Entry 4:
PaFeS2 | Alexandria | PBE-GGA | optimized geometry; raw formation energy = -1014 meV/atom; energy above the lowest structure with this stoichiometry = 0 meV/atom; SG = Cm (8)
1.0
3.0059 1.3685 -2.3022
1.3410 4.5429 -2.5935
-2.6652 -2.6141 9.0097
S Fe Pa
2 1 1
Cartesian
-0.3824 0.0250 2.0702
1.3226 3.0005 2.5472
0.2168 2.5908 4.3837
2.9251 3.4133 -2.1633



Entry 5:
CaNd2RhO5 | Alexandria | PBE-GGA | optimized geometry; raw formation energy = -2453 meV/atom; SG = P4/mbm (127)
1.0
-0.9835 -5.3215 -2.1647
6.5989 -1.3277 0.2657
-0.7357 -2.4060 6.2489
Nd Rh O Ca
4 2 10 2
Cartesian
1.0614 -5.0871 4.1765
4.4751 -5.3773 3.3390
3.8182 -3.9681 0.1733
0.4046 -3.6779 1.0108
-0.3678 -1.2030 3.1244
3.2994 -0.6639 0.1328
4.6399 -6.0053 0.8133
2.8838 -6.9290 3.8819
0.2398 -3.0499 3.5365
1.9959 -2.1262 0.4679
3.3845 -4.2199 4.9839
2.4398 -4.5276 2.1749
-0.2609 -5.7590 2.4344
1.4952 -4.8353 -0.6341
-0.4918 -2.6607 -1.0824
5.1406 -3.2962 1.9154
0.0000 0.0000 0.0000
2.9316 -1.8669 3.2573



Entry 6:
CuAs4P | Alexandria | PBE-GGA | optimized geometry; E_form = 0.77 eV/atom; SG = F-43m (216)
1.0
0.0000 3.8595 3.8595
3.8595 0.0000 3.8595
3.8595 3.8595 0.0000
As Cu P
4 1 1
Cartesian
4.8218 2.8973 4.8218
2.8973 2.8973 2.8973
2.8973 4.8218 4.8218
4.8218 4.8218 2.8973
5.7893 5.7893 5.7893
0.0000 0.0000 0.0000



Entry 7:
KCd2Ge | Alexandria | PBE-GGA | optimized geometry; E_form = -0.02 eV/atom; SG = P4/nmm (129)
1.0
-1.8930 -3.7031 -1.8668
0.5120 -2.2451 3.9343
-9.8451 3.4068 3.2253
Cd Ge K
4 2 2
Cartesian
-5.6131 -1.2707 2.6464
-10.0643 1.3036 2.0537
-0.4713 -0.8709 2.2054
-4.9226 1.7034 1.6127
-7.3661 0.3699 1.1697
-3.1695 0.0628 3.0894
-7.2210 1.4648 4.4167
-3.3147 -1.0321 -0.1576



Entry 8:
PrNd2Er3Te6 | Alexandria | PBE-GGA | optimized geometry; raw formation energy = -1329 meV/atom; SG = C2/m (12)
1.0
-3.4416 -2.6387 0.2444
-0.1354 -0.6531 -8.9589
7.4663 -5.8899 2.9479
Te Pr Er Nd
6 1 3 2
Cartesian
3.6546 -5.3474 -6.2711
3.8123 -5.1198 -1.5930
-0.0625 -0.5302 -6.6053
0.2347 -3.8344 0.5045
0.0770 -4.0620 -4.1736
3.9519 -8.6516 0.8387
-1.7208 -1.3194 0.1222
1.7932 -2.9352 -6.4402
-1.7885 -1.6459 -4.3573
2.0962 -6.2466 0.6736
2.0243 -6.5683 -3.8118
1.8650 -2.6135 -1.9548



Entry 9:
In3SnSe | Alexandria | PBE-GGA | optimized geometry; raw formation energy = 321 meV/atom; energy above the lowest structure with this stoichiometry = 0 meV/atom; SG = Pm-3m (221)
1.0
-1.2087 3.1137 4.3559
2.8218 -3.4246 3.2310
4.5504 2.9507 -0.8466
In Sn Se
3 1 1
Cartesian
-0.6044 1.5569 2.1779
2.2752 1.4754 -0.4233
1.4109 -1.7123 1.6155
3.0818 1.3199 3.3701
0.0000 0.0000 0.0000



Entry 10:
CdAg2Sb | Alexandria | PBE-GGA | optimized geometry; raw formation energy = 137 meV/atom; energy above the lowest structure with this stoichiometry = 93 meV/atom; SG = F-43m (216)
1.0
-2.2873 -3.6082 2.5404
-3.0433 -3.1492 -2.3506
1.3495 -4.7389 -0.6534
Sb Ag Cd
1 2 1
Cartesian
-0.9953 -2.8741 -0.1159
0.0000 0.0000 0.0000
-2.9858 -8.6222 -0.3477
-1.9906 -5.7481 -0.2318



Entry 11:
Be4CdAs | Alexandria | PBE-GGA | optimized geometry; E_form = 0.42 eV/atom; SG = F-43m (216)
1.0
0.0000 3.3482 3.3482
3.3482 0.0000 3.3482
3.3482 3.3482 0.0000
Cd Be As
1 4 1
Cartesian
5.0223 5.0223 5.0223
4.1855 4.1855 2.5109
4.1855 2.5109 4.1855
2.5109 2.5109 2.5109
2.5109 4.1855 4.1855
0.0000 0.0000 0.0000



Entry 12:
SrOsPt2 | Alexandria | PBE-GGA | optimized geometry; E_form = 0.34 eV/atom; energy above the lowest structure with this stoichiometry = 306 meV/atom; SG = P4/mmm (123)
1.0
-1.7340 -2.1303 3.2898
-2.7287 -1.9269 -2.6859
2.6370 -2.9810 -0.5404
Pt Os Sr
2 1 1
Cartesian
-2.2313 -2.0286 0.3020
0.0000 0.0000 0.0000
-0.0458 -2.4540 -1.6132
0.4515 -2.5556 1.3747



| no. | ρ (g cm⁻³) | magnetic moment (μB/atom) |
| --- | --- | --- |
| 1 | 6.5 | 0.00 |
| 2 | 4.4 | 0.10 |
| 3 | 8.8 | 5.13 |
| 4 | 7.7 | 0.35 |
| 5 | 6.4 | 0.11 |
| 6 | 5.7 | 0.00 |
| 7 | 4.9 | 0.00 |
| 8 | 7.7 | 0.00 |
| 9 | 5.4 | 0.00 |
| 10 | 8.6 | 0.00 |
| 11 | 4.9 | 0.00 |
| 12 | 15.0 | 0.27 |